Density functional theory data (PBE) for Dy2Ga12Au after structural relaxation.

Properties
Theoretical density, g cm⁻³: 7.67
Space-group type: P4/nbm, No. 125
Energy relative to the elements, eV per atom: -0.30
Calculated total energy, hartree per atom: -0.1307
Magnetic moment, μB/f.u.: 0.0
D(E_F), states/eV/f.u.: 5.93

```
Dy2Ga12Au
1.0
-1.426 -4.578 3.918
3.872 -3.781 -3.009
11.436 4.351 9.246
Ga Dy Au
24 4 2
Cartesian
3.644 -3.561 -0.390
6.316 -4.462 5.244
8.853 -0.804 3.910
5.199 -2.667 3.669
4.619 -1.805 6.092
5.980 -0.149 3.629
0.997 -3.963 3.074
7.460 2.838 6.031
3.384 -3.357 2.202
8.683 -1.342 6.486
10.236 -0.444 10.545
12.886 -0.049 7.081
2.161 0.822 1.747
1.708 -1.672 1.116
6.614 -2.602 7.526
2.933 -5.852 1.567
12.171 -2.336 9.042
10.497 -0.651 7.953
9.274 3.529 7.499
7.677 -2.807 2.781
10.951 1.844 8.584
8.788 -3.726 5.366
6.678 0.320 6.071
3.976 1.513 3.215
2.138 -1.204 4.265
10.520 1.375 5.436
4.787 -0.806 0.801
7.871 0.977 8.900
-0.713 -2.289 1.959
1.936 -1.891 -1.505
```